# Li2TbWN4

A relaxed Li2TbWN4 crystal (PBE, Alexandria).

Electronic total energy   -60.49 eV/cell
Theoretical density   7.10 Mg/m³

CIF file:
```
data_Li2TbWN4
_chemical_formula_sum 'Li2 Tb1 W1 N4'
_cell_length_a 5.066
_cell_length_b 5.066
_cell_length_c 5.066
_cell_angle_alpha 116.20
_cell_angle_beta 116.20
_cell_angle_gamma 96.72
_symmetry_space_group_name_H-M 'P 1'
_symmetry_Int_Tables_number 1
_symmetry_space_group_name_Hall 'P 1'
loop_
_atom_site_label
_atom_site_fract_x
_atom_site_fract_y
_atom_site_fract_z
Li1 0.250 0.750 0.500
Li2 0.750 0.250 0.500
Tb1 0.000 0.000 0.000
W1 0.500 0.500 0.000
N1 0.139 0.556 0.000
N2 0.444 0.444 0.583
N3 0.556 0.139 0.000
N4 0.861 0.861 0.417
```

***

# LiTbZr2N4

A relaxed LiTbZr2N4 crystal (PBE, Alexandria).

Electronic total energy   -136.94 eV/cell
Theoretical density   6.89 Mg/m³

CIF file:
```
data_LiTbZr2N4
_chemical_formula_sum 'Li2 Tb2 Zr4 N8'
_cell_length_a 5.618
_cell_length_b 5.618
_cell_length_c 11.062
_cell_angle_alpha 90.00
_cell_angle_beta 90.00
_cell_angle_gamma 146.07
_symmetry_space_group_name_H-M 'P 1'
_symmetry_Int_Tables_number 1
_symmetry_space_group_name_Hall 'P 1'
loop_
_atom_site_label
_atom_site_fract_x
_atom_site_fract_y
_atom_site_fract_z
Li1 0.156 0.844 0.750
Li2 0.844 0.156 0.250
Tb1 0.107 0.893 0.250
Tb2 0.893 0.107 0.750
Zr1 0.367 0.633 0.058
Zr2 0.367 0.633 0.442
Zr3 0.633 0.367 0.558
Zr4 0.633 0.367 0.942
N1 0.000 0.000 0.000
N2 0.000 0.000 0.500
N3 0.264 0.736 0.614
N4 0.264 0.736 0.886
N5 0.448 0.552 0.250
N6 0.552 0.448 0.750
N7 0.736 0.264 0.114
N8 0.736 0.264 0.386
```